(1)
Entry from Alexandria: an optimized crystal structure of InFeBr4 (PBE).

formation energy (no corrections): 0.733 eV per atom
SG: No. 216

Cell: 6.454 6.454 6.454 Å, 60.00 60.00 60.00°
Fractional positions:
Br  0.375  0.874  0.375
In  0.000  0.000  0.000
Br  0.874  0.375  0.375
Fe  0.750  0.750  0.750
Br  0.375  0.375  0.874
Br  0.375  0.375  0.375

---

(2)
Entry from Alexandria: an optimized crystal structure of Dy8Te4P3H (PBE).

E: -5.626 eV per atom
SG: No. 166

Cell: 8.151 8.446 8.151 Å, 118.85 120.00 90.00°
Fractional positions:
Dy  0.761  0.289  0.028
P  0.000  0.500  0.500
Dy  0.239  0.711  0.479
Dy  0.761  0.289  0.521
Dy  0.267  0.289  0.028
Te  0.000  0.000  0.500
Dy  0.239  0.711  0.972
P  0.500  0.500  0.000
Dy  0.736  0.707  0.471
Dy  0.733  0.711  0.972
H  0.000  0.500  0.000
P  0.500  0.500  0.500
Te  0.500  0.000  0.000
Te  0.500  0.000  0.500
Dy  0.264  0.293  0.529
Te  0.000  0.000  0.000

---

(3)
Entry from Alexandria: an optimized crystal structure of BeNbIr2Os (PBE).

energy of formation: 0.2936 eV per atom
SG: No. 123

Cell: 4.064 4.340 4.064 Å, 90.00 90.00 90.00°
Fractional positions:
Be  0.000  0.000  0.000
Ir  0.500  0.000  0.000
Os  0.500  0.500  0.500
Nb  0.000  0.500  0.000
Ir  0.000  0.000  0.500

---

(4)
Entry from Alexandria: an optimized crystal structure of Tm3AsS6 (PBE).

formation energy (no corrections): -1.525 eV per atom
SG: No. 36

Cell: 6.602 8.382 8.382 Å, 102.80 90.00 90.00°
Fractional positions:
Tm  0.483  0.284  0.083
S  0.686  0.577  0.100
Tm  0.483  0.917  0.716
S  0.247  0.014  0.986
S  0.684  0.636  0.694
S  0.747  0.986  0.014
As  0.007  0.179  0.821
S  0.136  0.769  0.231
Tm  0.390  0.403  0.597
S  0.186  0.100  0.577
Tm  0.983  0.083  0.284
S  0.684  0.306  0.364
S  0.636  0.231  0.769
As  0.507  0.821  0.179
S  0.184  0.694  0.636
S  0.184  0.364  0.306
S  0.186  0.423  0.900
Tm  0.983  0.716  0.917
Tm  0.890  0.597  0.403
S  0.686  0.900  0.423

---

(5)
Entry from Alexandria: an optimized crystal structure of GdTl2Ge (PBE).

energy of formation: 0.2119 eV per atom
SG: No. 166

Cell: 3.494 3.494 11.234 Å, 81.05 81.05 60.00°
Fractional positions:
Gd  0.000  0.000  0.000
Tl  0.905  0.905  0.286
Tl  0.095  0.095  0.714
Ge  0.500  0.500  0.500

---

(6)
Entry from Alexandria: an optimized crystal structure of ZrZnRh (PBE).

energy of formation: -0.3802 eV per atom
SG: No. 216

Cell: 4.369 4.369 4.369 Å, 60.00 60.00 60.00°
Fractional positions:
Zr  0.500  0.500  0.500
Zn  0.000  0.000  0.000
Rh  0.750  0.750  0.750

---

(7)
Entry from Alexandria: an optimized crystal structure of InSb2Ru (PBE).

formation energy (no corrections): 0.472 eV per atom
SG: No. 216

Cell: 4.976 4.976 4.976 Å, 60.00 60.00 60.00°
Fractional positions:
Sb  0.750  0.750  0.750
Ru  0.250  0.250  0.250
In  0.500  0.500  0.500
Sb  0.000  0.000  0.000

---

(8)
Entry from Alexandria: an optimized crystal structure of CaLa2Bi2 (PBE).

energy of formation: -0.5102 eV per atom
SG: No. 139

Cell: 4.804 4.804 8.519 Å, 73.62 73.62 90.00°
Fractional positions:
Bi  0.398  0.398  0.205
La  0.750  0.250  0.500
Bi  0.602  0.602  0.795
Ca  0.000  0.000  0.000
La  0.250  0.750  0.500